Entry from the Alexandria database: a geometry-optimized La2YW structure (GGA-PBE).

a = 4.912 Å, b = 3.397 Å, c = 6.915 Å
α = 73.75°, β = 90.00°, γ = 90.00°
Positions (direct):
La (0.000, 0.026, 0.990)
La (0.500, 0.391, 0.278)
W (0.000, 0.374, 0.521)
Y (0.500, 0.710, 0.711)

Output
For the offset from the most stable computed form, the calculation gives 68 meV per atom. Its symmetry is Pm. For the spin magnetization, the calculation gives 0.0 μB per formula unit.